Record 1
Compound: Na2ZnS2
Source: the Alexandria database
Functional: PBEsol
Structure: relaxed

Structure (POSCAR):
```
Na2ZnS2
1.0
6.765 0.000 0.000
0.000 18.558 0.000
0.000 0.000 6.875
Na Zn S
16 8 16
direct
0.010 0.072 0.181 Na
0.010 0.428 0.681 Na
0.177 0.700 0.039 Na
0.177 0.800 0.539 Na
0.323 0.200 0.039 Na
0.323 0.300 0.539 Na
0.490 0.572 0.181 Na
0.490 0.928 0.681 Na
0.510 0.072 0.319 Na
0.510 0.428 0.819 Na
0.677 0.700 0.461 Na
0.677 0.800 0.961 Na
0.823 0.200 0.461 Na
0.823 0.300 0.961 Na
0.990 0.572 0.319 Na
0.990 0.928 0.819 Na
0.142 0.068 0.606 Zn
0.142 0.432 0.106 Zn
0.358 0.568 0.606 Zn
0.358 0.932 0.106 Zn
0.642 0.068 0.894 Zn
0.642 0.432 0.394 Zn
0.858 0.568 0.894 Zn
0.858 0.932 0.394 Zn
0.204 0.544 0.900 S
0.204 0.956 0.400 S
0.221 0.166 0.430 S
0.221 0.334 0.930 S
0.279 0.666 0.430 S
0.279 0.834 0.930 S
0.296 0.044 0.900 S
0.296 0.456 0.400 S
0.704 0.544 0.600 S
0.704 0.956 0.100 S
0.721 0.166 0.070 S
0.721 0.334 0.570 S
0.779 0.666 0.070 S
0.779 0.834 0.570 S
0.796 0.044 0.600 S
0.796 0.456 0.100 S
```

Output
- Space group: Pbca
- Total energy: -3.584 eV per atom

***

Record 2
Compound: CsLa3Si
Source: the Alexandria database
Functional: PBEsol
Structure: relaxed

Structure (POSCAR):
```
CsLa3Si
1.0
5.681 0.000 0.000
0.000 5.681 0.000
0.000 0.000 5.681
Cs La Si
1 3 1
direct
0.000 0.000 0.000 Cs
0.000 0.000 0.500 La
0.000 0.500 0.000 La
0.500 0.000 0.000 La
0.500 0.500 0.500 Si
```

Output
- Space group: Pm-3m
- E above lowest polymorph: 0.955 eV/atom

***

Record 3
Compound: Sc2TcMo
Source: the Alexandria database
Functional: PBEsol
Structure: relaxed

Structure (POSCAR):
```
Sc2TcMo
1.0
3.849 0.000 0.000
0.000 3.849 0.000
0.000 0.000 9.225
Sc Tc Mo
4 2 2
direct
0.000 0.500 0.250 Sc
0.000 0.500 0.750 Sc
0.500 0.000 0.250 Sc
0.500 0.000 0.750 Sc
0.000 0.000 0.000 Tc
0.500 0.500 0.500 Tc
0.000 0.000 0.500 Mo
0.500 0.500 0.000 Mo
```

Output
- Space group: I4/mmm
- E above lowest polymorph: 0.315 eV/atom
- Formation energy: 212 meV/atom

***

Record 4
Compound: MgSb2TeF
Source: the Alexandria database
Functional: PBEsol
Structure: relaxed

Structure (POSCAR):
```
MgSb2TeF
1.0
4.694 0.000 0.000
0.000 4.694 0.000
0.000 0.000 5.422
Mg Sb Te F
1 2 1 1
direct
0.000 0.000 0.000 Mg
0.000 0.500 0.500 Sb
0.500 0.000 0.500 Sb
0.500 0.500 0.000 Te
0.500 0.500 0.500 F
```

Output
- Space group: P4/mmm
- Total energy: -3.496 eV per atom

***

Record 5
Compound: VO2
Source: the Alexandria database
Functional: PBEsol
Structure: relaxed

Structure (POSCAR):
```
VO2
1.0
8.739 0.000 0.000
0.000 2.812 0.000
0.000 0.000 10.520
V O
8 16
direct
0.043 0.250 0.123 V
0.097 0.250 0.597 V
0.403 0.750 0.097 V
0.457 0.750 0.623 V
0.543 0.250 0.377 V
0.597 0.250 0.903 V
0.903 0.750 0.403 V
0.957 0.750 0.877 V
0.031 0.750 0.713 O
0.082 0.250 0.932 O
0.114 0.750 0.480 O
0.197 0.750 0.139 O
0.303 0.250 0.639 O
0.386 0.250 0.980 O
0.418 0.750 0.432 O
0.469 0.250 0.213 O
0.531 0.750 0.787 O
0.582 0.250 0.568 O
0.614 0.750 0.020 O
0.697 0.750 0.361 O
0.803 0.250 0.861 O
0.886 0.250 0.520 O
0.918 0.750 0.068 O
0.969 0.250 0.287 O
```

Output
- Space group: Pnma
- Total energy: -9.034 eV per atom

***

Record 6
Compound: SbBr5
Source: the Alexandria database
Functional: PBEsol
Structure: relaxed

Structure (POSCAR):
```
SbBr5
1.0
13.134 0.000 0.000
0.000 4.028 0.000
-5.754 0.000 8.096
Sb Br
2 10
direct
0.000 0.000 0.000 Sb
0.500 0.500 0.000 Sb
0.039 0.500 0.507 Br
0.116 0.500 0.344 Br
0.191 0.500 0.122 Br
0.320 0.000 0.884 Br
0.475 0.500 0.728 Br
0.539 0.000 0.507 Br
0.616 0.000 0.344 Br
0.691 0.000 0.122 Br
0.820 0.500 0.884 Br
0.975 0.000 0.728 Br
```

Output
- Space group: Cm
- Total energy: -2.661 eV per atom

***

Record 7
Compound: TcSbRu2
Source: the Alexandria database
Functional: PBEsol
Structure: relaxed

Structure (POSCAR):
```
TcSbRu2
1.0
3.061 0.000 0.000
0.000 4.457 0.000
0.000 0.000 8.799
Tc Sb Ru
2 2 4
direct
0.000 0.000 0.000 Tc
0.500 0.500 0.500 Tc
0.000 0.000 0.500 Sb
0.500 0.500 0.000 Sb
0.000 0.500 0.235 Ru
0.000 0.500 0.765 Ru
0.500 0.000 0.265 Ru
0.500 0.000 0.735 Ru
```

Output
- Space group: Immm
- Total energy: -8.768 eV per atom

***

Record 8
Compound: BaScAl
Source: the Alexandria database
Functional: PBEsol
Structure: relaxed

Structure (POSCAR):
```
BaScAl
1.0
5.226 0.000 0.000
-2.613 4.526 0.000
0.000 0.000 3.733
Ba Sc Al
1 1 1
direct
0.000 0.000 0.000 Ba
0.333 0.667 0.500 Sc
0.667 0.333 0.500 Al
```

Output
- Space group: P-6m2
- E above lowest polymorph: 0.000 eV/atom
- Formation energy: 132 meV/atom

***

Record 9
Compound: Sr2Si2Pb
Source: the Alexandria database
Functional: PBEsol
Structure: relaxed

Structure (POSCAR):
```
Sr2Si2Pb
1.0
5.094 0.000 0.000
0.000 5.094 0.000
0.000 0.000 11.618
Sr Si Pb
4 4 2
direct
0.000 0.500 0.250 Sr
0.000 0.500 0.750 Sr
0.500 0.000 0.250 Sr
0.500 0.000 0.750 Sr
0.000 0.000 0.095 Si
0.000 0.000 0.905 Si
0.500 0.500 0.405 Si
0.500 0.500 0.595 Si
0.000 0.000 0.500 Pb
0.500 0.500 0.000 Pb
```

Output
- Space group: I4/mmm
- Total energy: -3.794 eV per atom

***

Record 10
Compound: Sc2PRuAu
Source: the Alexandria database
Functional: PBEsol
Structure: relaxed

Structure (POSCAR):
```
Sc2PRuAu
1.0
4.766 0.000 0.000
0.000 4.766 0.000
0.000 0.000 4.424
Sc P Ru Au
2 1 1 1
direct
0.000 0.500 0.000 Sc
0.500 0.000 0.000 Sc
0.000 0.000 0.000 P
0.500 0.500 0.500 Ru
0.000 0.000 0.500 Au
```

Output
- Space group: P4/mmm
- Formation energy: 134 meV/atom

***

Record 11
Compound: KCa2GeCl
Source: the Alexandria database
Functional: PBEsol
Structure: relaxed

Structure (POSCAR):
```
KCa2GeCl
1.0
5.700 0.000 0.000
0.000 5.700 0.000
0.000 0.000 5.983
K Ca Ge Cl
1 2 1 1
direct
0.000 0.000 0.000 K
0.000 0.500 0.500 Ca
0.500 0.000 0.500 Ca
0.500 0.500 0.500 Ge
0.500 0.500 0.000 Cl
```

Output
- Space group: P4/mmm
- Total energy: -2.773 eV per atom

***

Record 12
Compound: Nb3Ni20B6
Source: the Alexandria database
Functional: PBEsol
Structure: relaxed

Structure (POSCAR):
```
Nb3Ni20B6
1.0
0.000 5.239 5.239
5.239 0.000 5.239
5.239 5.239 0.000
Nb Ni B
3 20 6
direct
0.000 0.000 0.000 Nb
0.250 0.250 0.250 Nb
0.750 0.750 0.750 Nb
0.000 0.000 0.344 Ni
0.000 0.000 0.656 Ni
0.000 0.344 0.000 Ni
0.000 0.344 0.656 Ni
0.000 0.656 0.000 Ni
0.000 0.656 0.344 Ni
0.154 0.615 0.615 Ni
0.344 0.000 0.000 Ni
0.344 0.000 0.656 Ni
0.344 0.656 0.000 Ni
0.385 0.385 0.385 Ni
0.385 0.385 0.846 Ni
0.385 0.846 0.385 Ni
0.615 0.154 0.615 Ni
0.615 0.615 0.154 Ni
0.615 0.615 0.615 Ni
0.656 0.000 0.000 Ni
0.656 0.000 0.344 Ni
0.656 0.344 0.000 Ni
0.846 0.385 0.385 Ni
0.267 0.267 0.733 B
0.267 0.733 0.267 B
0.267 0.733 0.733 B
0.733 0.267 0.267 B
0.733 0.267 0.733 B
0.733 0.733 0.267 B
```

Output
- Space group: Fm-3m
- Formation energy: -401 meV/atom

***

Record 13
Compound: LiY2Cl
Source: the Alexandria database
Functional: PBEsol
Structure: relaxed

Structure (POSCAR):
```
LiY2Cl
1.0
4.047 0.000 0.000
0.000 4.047 0.000
0.000 0.000 11.608
Li Y Cl
2 4 2
direct
0.000 0.000 0.000 Li
0.500 0.500 0.500 Li
0.000 0.000 0.500 Y
0.000 0.500 0.250 Y
0.500 0.000 0.750 Y
0.500 0.500 0.000 Y
0.000 0.500 0.750 Cl
0.500 0.000 0.250 Cl
```

Output
- Space group: I-4m2
- Total energy: -4.660 eV per atom

***

Record 14
Compound: KYCo
Source: the Alexandria database
Functional: PBEsol
Structure: relaxed

Structure (POSCAR):
```
KYCo
1.0
6.751 0.000 0.000
0.000 6.751 0.000
0.000 0.000 6.751
K Y Co
4 4 4
direct
0.000 0.000 0.000 K
0.000 0.500 0.500 K
0.500 0.000 0.500 K
0.500 0.500 0.000 K
0.000 0.000 0.500 Y
0.000 0.500 0.000 Y
0.500 0.000 0.000 Y
0.500 0.500 0.500 Y
0.250 0.250 0.750 Co
0.250 0.750 0.250 Co
0.750 0.250 0.250 Co
0.750 0.750 0.750 Co
```

Output
- Space group: F-43m
- E above lowest polymorph: 0.468 eV/atom
- Formation energy: 934 meV/atom

***

Record 15
Compound: BaZn4Cr
Source: the Alexandria database
Functional: PBEsol
Structure: relaxed

Structure (POSCAR):
```
BaZn4Cr
1.0
0.000 3.831 3.831
3.831 0.000 3.831
3.831 3.831 0.000
Ba Zn Cr
1 4 1
direct
0.000 0.000 0.000 Ba
0.132 0.623 0.623 Zn
0.623 0.132 0.623 Zn
0.623 0.623 0.132 Zn
0.623 0.623 0.623 Zn
0.250 0.250 0.250 Cr
```

Output
- Space group: F-43m
- Formation energy: 177 meV/atom

***

Record 16
Compound: Na2GeF6
Source: the Alexandria database
Functional: PBEsol
Structure: relaxed

Structure (POSCAR):
```
Na2GeF6
1.0
9.082 0.000 0.000
-4.541 7.865 0.000
0.000 0.000 5.112
Na Ge F
6 3 18
direct
0.000 0.289 0.000 Na
0.000 0.627 0.500 Na
0.289 0.000 0.000 Na
0.373 0.373 0.500 Na
0.627 0.000 0.500 Na
0.711 0.711 0.000 Na
0.000 0.000 0.500 Ge
0.333 0.667 0.005 Ge
0.667 0.333 0.995 Ge
0.086 0.896 0.298 F
0.104 0.190 0.298 F
0.145 0.552 0.208 F
0.190 0.104 0.702 F
0.224 0.746 0.801 F
0.254 0.478 0.801 F
0.407 0.855 0.208 F
0.448 0.593 0.208 F
0.478 0.254 0.199 F
0.522 0.776 0.801 F
0.552 0.145 0.792 F
0.593 0.448 0.792 F
0.746 0.224 0.199 F
0.776 0.522 0.199 F
0.810 0.914 0.298 F
0.855 0.407 0.792 F
0.896 0.086 0.702 F
0.914 0.810 0.702 F
```

Output
- Space group: P321
- E above lowest polymorph: 0.000 eV/atom

***

Record 17
Compound: Cd3GaSi
Source: the Alexandria database
Functional: PBEsol
Structure: relaxed

Structure (POSCAR):
```
Cd3GaSi
1.0
4.994 0.000 0.000
0.000 4.994 0.000
0.000 0.000 4.994
Cd Ga Si
3 1 1
direct
0.000 0.000 0.500 Cd
0.000 0.500 0.000 Cd
0.500 0.000 0.000 Cd
0.000 0.000 0.000 Ga
0.500 0.500 0.500 Si
```

Output
- Space group: Pm-3m
- Total energy: -1.815 eV per atom

***

Record 18
Compound: Sc5Al3
Source: the Alexandria database
Functional: PBEsol
Structure: relaxed

Structure (POSCAR):
```
Sc5Al3
1.0
6.836 0.000 0.000
0.000 9.727 0.000
0.000 0.000 4.826
Sc Al
10 6
direct
0.000 0.000 0.000 Sc
0.232 0.500 0.500 Sc
0.250 0.250 0.000 Sc
0.250 0.750 0.000 Sc
0.268 0.000 0.500 Sc
0.500 0.500 0.000 Sc
0.732 0.000 0.500 Sc
0.750 0.250 0.000 Sc
0.750 0.750 0.000 Sc
0.768 0.500 0.500 Sc
0.000 0.231 0.500 Al
0.000 0.500 0.000 Al
0.000 0.769 0.500 Al
0.500 0.000 0.000 Al
0.500 0.269 0.500 Al
0.500 0.731 0.500 Al
```

Output
- Space group: Cmmm
- E above lowest polymorph: 0.027 eV/atom
- Formation energy: -325 meV/atom

***

Record 19
Compound: LiMnBO3
Source: the Alexandria database
Functional: PBEsol
Structure: relaxed

Structure (POSCAR):
```
LiMnBO3
1.0
8.231 0.000 0.000
-4.116 7.129 0.000
0.000 0.000 3.109
Li Mn B O
3 3 3 9
direct
0.043 0.351 0.000 Li
0.308 0.957 0.000 Li
0.649 0.692 0.000 Li
0.350 0.313 0.500 Mn
0.687 0.036 0.500 Mn
0.964 0.650 0.500 Mn
0.000 0.000 0.500 B
0.333 0.667 0.500 B
0.667 0.333 0.000 B
0.069 0.192 0.500 O
0.122 0.931 0.500 O
0.140 0.554 0.500 O
0.414 0.860 0.500 O
0.446 0.586 0.500 O
0.472 0.242 0.000 O
0.758 0.230 0.000 O
0.770 0.528 0.000 O
0.808 0.878 0.500 O
```

Output
- Space group: P-6
- E above lowest polymorph: 0.045 eV/atom

***

Record 20
Compound: YTa2Sb
Source: the Alexandria database
Functional: PBEsol
Structure: relaxed

Structure (POSCAR):
```
YTa2Sb
1.0
3.483 0.000 0.000
0.000 4.522 0.000
-1.727 0.000 5.417
Y Ta Sb
1 2 1
direct
0.000 0.000 0.000 Y
0.287 0.500 0.578 Ta
0.739 0.000 0.483 Ta
0.576 0.500 0.153 Sb
```

Output
- Space group: Pm
- Total energy: -9.154 eV per atom

***

Record 21
Compound: Ca2TcBr
Source: the Alexandria database
Functional: PBEsol
Structure: relaxed

Structure (POSCAR):
```
Ca2TcBr
1.0
4.161 0.000 0.000
0.000 4.161 0.000
0.000 0.000 11.188
Ca Tc Br
4 2 2
direct
0.000 0.000 0.000 Ca
0.000 0.500 0.250 Ca
0.500 0.000 0.750 Ca
0.500 0.500 0.500 Ca
0.000 0.000 0.500 Tc
0.500 0.500 0.000 Tc
0.000 0.500 0.750 Br
0.500 0.000 0.250 Br
```

Output
- Space group: I-4m2
- E above lowest polymorph: 0.000 eV/atom

***

Record 22
Compound: AsSe2N
Source: the Alexandria database
Functional: PBEsol
Structure: relaxed

Structure (POSCAR):
```
AsSe2N
1.0
6.210 0.000 0.000
0.000 6.210 0.000
0.000 0.000 7.567
As Se N
4 8 4
direct
0.000 0.000 0.000 As
0.000 0.500 0.250 As
0.500 0.000 0.750 As
0.500 0.500 0.500 As
0.191 0.750 0.625 Se
0.250 0.191 0.375 Se
0.250 0.309 0.875 Se
0.309 0.750 0.125 Se
0.691 0.250 0.125 Se
0.750 0.691 0.875 Se
0.750 0.809 0.375 Se
0.809 0.250 0.625 Se
0.000 0.000 0.500 N
0.000 0.500 0.750 N
0.500 0.000 0.250 N
0.500 0.500 0.000 N
```

Output
- Space group: I-42d
- E above lowest polymorph: 0.000 eV/atom